Entry 1:
# CePa2Rh PBE optimized geometry
# space-group type	No. 166
# energy of formation	-0.257	eV per formula unit
# calculated total energy	-32.53	eV/f.u.
# energy above the lowest structure with this stoichiometry	17.1	kJ per mole of atoms
# calculated density	13.125	g cm⁻³
data_CePa2Rh
_cell_length_a 10.710
_cell_length_b 10.710
_cell_length_c 10.710
_cell_angle_alpha 16.77
_cell_angle_beta 16.77
_cell_angle_gamma 16.77
_space_group_name_H-M_alt 'P 1'
_space_group_IT_number 1
loop_
_space_group_symop_operation_xyz
'x,y,z'
loop_
_atom_site_label
_atom_site_type_symbol
_atom_site_fract_x
_atom_site_fract_y
_atom_site_fract_z
Ce1 Ce 0.000 0.000 0.000
Pa1 Pa 0.094 0.094 0.094
Pa2 Pa 0.906 0.906 0.906
Rh1 Rh 0.500 0.500 0.500

---

Entry 2:
# CaTl2CF PBE optimized geometry
# space-group type	No. 123
# formation energy without anion corrections	0.5026	eV per atom
# calculated total energy	-15.32	eV/f.u.
# energy above the lowest structure with this stoichiometry	26.7	kJ per mole of atoms
# calculated density	7.066	g cm⁻³
data_CaTl2CF
_cell_length_a 5.042
_cell_length_b 5.042
_cell_length_c 4.436
_cell_angle_alpha 90.00
_cell_angle_beta 90.00
_cell_angle_gamma 90.00
_space_group_name_H-M_alt 'P 1'
_space_group_IT_number 1
loop_
_space_group_symop_operation_xyz
'x,y,z'
loop_
_atom_site_label
_atom_site_type_symbol
_atom_site_fract_x
_atom_site_fract_y
_atom_site_fract_z
Ca1 Ca 0.000 0.000 0.000
Tl1 Tl 0.000 0.500 0.500
Tl2 Tl 0.500 0.000 0.500
C1 C 0.500 0.500 0.000
F1 F 0.500 0.500 0.500

---

Entry 3:
# SrCuPb2 PBE optimized geometry
# space-group type	No. 123
# energy of formation	-0.167	eV per formula unit
# calculated total energy	-13.36	eV/f.u.
# calculated density	8.495	g cm⁻³
data_SrCuPb2
_cell_length_a 3.796
_cell_length_b 3.796
_cell_length_c 7.672
_cell_angle_alpha 90.00
_cell_angle_beta 90.00
_cell_angle_gamma 90.00
_space_group_name_H-M_alt 'P 1'
_space_group_IT_number 1
loop_
_space_group_symop_operation_xyz
'x,y,z'
loop_
_atom_site_label
_atom_site_type_symbol
_atom_site_fract_x
_atom_site_fract_y
_atom_site_fract_z
Sr1 Sr 0.000 0.000 0.000
Cu1 Cu 0.000 0.000 0.500
Pb1 Pb 0.500 0.500 0.302
Pb2 Pb 0.500 0.500 0.698

---

Entry 4:
# SiAsOsSe2 PBE optimized geometry
# space-group type	No. 123
# formation energy without anion corrections	0.8922	eV per atom
# calculated total energy	-23.81	eV/f.u.
# energy above the lowest structure with this stoichiometry	0.0	kJ per mole of atoms
# calculated density	6.407	g cm⁻³
data_SiAsOsSe2
_cell_length_a 5.032
_cell_length_b 5.032
_cell_length_c 4.617
_cell_angle_alpha 90.00
_cell_angle_beta 90.00
_cell_angle_gamma 90.00
_space_group_name_H-M_alt 'P 1'
_space_group_IT_number 1
loop_
_space_group_symop_operation_xyz
'x,y,z'
loop_
_atom_site_label
_atom_site_type_symbol
_atom_site_fract_x
_atom_site_fract_y
_atom_site_fract_z
Si1 Si 0.000 0.000 0.000
As1 As 0.500 0.500 0.000
Os1 Os 0.500 0.500 0.500
Se1 Se 0.000 0.500 0.500
Se2 Se 0.500 0.000 0.500

---

Entry 5:
# Th2NpRhN4 PBE optimized geometry
# space-group type	No. 63
# formation energy without anion corrections	-0.9988	eV per atom
# calculated total energy	-76.42	eV/f.u.
# calculated density	11.624	g cm⁻³
data_Th2NpRhN4
_cell_length_a 6.178
_cell_length_b 6.178
_cell_length_c 11.972
_cell_angle_alpha 90.00
_cell_angle_beta 90.00
_cell_angle_gamma 147.48
_space_group_name_H-M_alt 'P 1'
_space_group_IT_number 1
loop_
_space_group_symop_operation_xyz
'x,y,z'
loop_
_atom_site_label
_atom_site_type_symbol
_atom_site_fract_x
_atom_site_fract_y
_atom_site_fract_z
Th1 Th 0.130 0.870 0.561
Th2 Th 0.130 0.870 0.939
Th3 Th 0.870 0.130 0.061
Th4 Th 0.870 0.130 0.439
Np1 Np 0.385 0.615 0.750
Np2 Np 0.615 0.385 0.250
Rh1 Rh 0.346 0.654 0.250
Rh2 Rh 0.654 0.346 0.750
N1 N 0.014 0.986 0.750
N2 N 0.215 0.785 0.125
N3 N 0.215 0.785 0.375
N4 N 0.500 0.500 0.000
N5 N 0.500 0.500 0.500
N6 N 0.785 0.215 0.625
N7 N 0.785 0.215 0.875
N8 N 0.986 0.014 0.250

---

Entry 6:
# VFe2Hg2 PBE optimized geometry
# space-group type	No. 139
# energy of formation	3.889	eV per formula unit
# calculated total energy	-22.76	eV/f.u.
# energy above the lowest structure with this stoichiometry	30.7	kJ per mole of atoms
# calculated density	9.988	g cm⁻³
data_VFe2Hg2
_cell_length_a 6.555
_cell_length_b 6.555
_cell_length_c 6.555
_cell_angle_alpha 144.66
_cell_angle_beta 144.66
_cell_angle_gamma 50.84
_space_group_name_H-M_alt 'P 1'
_space_group_IT_number 1
loop_
_space_group_symop_operation_xyz
'x,y,z'
loop_
_atom_site_label
_atom_site_type_symbol
_atom_site_fract_x
_atom_site_fract_y
_atom_site_fract_z
V1 V 0.000 0.000 0.000
Fe1 Fe 0.412 0.412 0.000
Fe2 Fe 0.588 0.588 0.000
Hg1 Hg 0.250 0.750 0.500
Hg2 Hg 0.750 0.250 0.500

---

Entry 7:
# NpGa2S4 PBE optimized geometry
# space-group type	No. 111
# formation energy without anion corrections	-0.6223	eV per atom
# calculated total energy	-39.86	eV/f.u.
# calculated density	4.575	g cm⁻³
data_NpGa2S4
_cell_length_a 5.299
_cell_length_b 5.299
_cell_length_c 6.525
_cell_angle_alpha 90.00
_cell_angle_beta 90.00
_cell_angle_gamma 90.00
_space_group_name_H-M_alt 'P 1'
_space_group_IT_number 1
loop_
_space_group_symop_operation_xyz
'x,y,z'
loop_
_atom_site_label
_atom_site_type_symbol
_atom_site_fract_x
_atom_site_fract_y
_atom_site_fract_z
Np1 Np 0.000 0.000 0.000
Ga1 Ga 0.000 0.500 0.500
Ga2 Ga 0.500 0.000 0.500
S1 S 0.265 0.265 0.283
S2 S 0.265 0.735 0.717
S3 S 0.735 0.265 0.717
S4 S 0.735 0.735 0.283

---

Entry 8:
# Mn2GaNi PBE optimized geometry
# space-group type	No. 122
# energy of formation	1.356	eV per formula unit
# calculated total energy	-25.79	eV/f.u.
# calculated density	6.894	g cm⁻³
data_Mn2GaNi
_cell_length_a 5.389
_cell_length_b 5.389
_cell_length_c 5.389
_cell_angle_alpha 102.84
_cell_angle_beta 102.84
_cell_angle_gamma 123.75
_space_group_name_H-M_alt 'P 1'
_space_group_IT_number 1
loop_
_space_group_symop_operation_xyz
'x,y,z'
loop_
_atom_site_label
_atom_site_type_symbol
_atom_site_fract_x
_atom_site_fract_y
_atom_site_fract_z
Mn1 Mn 0.103 0.625 0.978
Mn2 Mn 0.375 0.353 0.478
Mn3 Mn 0.647 0.125 0.022
Mn4 Mn 0.875 0.897 0.522
Ga1 Ga 0.250 0.750 0.500
Ga2 Ga 0.500 0.500 0.000
Ni1 Ni 0.000 0.000 0.000
Ni2 Ni 0.750 0.250 0.500

---

Summary of spin magnetization in μB per formula unit
0.0 0.0 0.0 0.0 2.0 2.3 4.7 7.0
(order as listed above)